No. 1
Sr2TaAlO6: relaxed, GGA-PBEsol.

Output
**Theoretical density**: 6.8 g/cm³
**Spin magnetization**: 0.000 μB per atom
**Energy relative to the elements, uncorrected**: -3024 kJ/mol of formula units
**DOS(E_F)**: 0.00 states/eV/f.u.
**V**: 11.76 Å³ per atom

Cell lengths 7.776, 7.776, 7.776 Å; angles 90.00, 90.00, 90.00 degrees
Space group Fm-3m (No. 225)
Asymmetric unit:
Sr1 0.250 0.250 0.250
Ta1 0.000 0.000 0.000
Al1 0.000 0.000 0.500
O1 0.000 0.000 0.255



No. 2
MnOs4: relaxed, GGA-PBEsol.

Output
**Theoretical density**: 16.6 g/cm³
**Formation energy**: 829.7 meV per atom
**Spin magnetization**: 0.693 μB per atom
**DOS(E_F)**: 4.79 states/eV/f.u.
**V**: 16.37 Å³ per atom

Cell lengths 3.807, 3.807, 11.292 Å; angles 90.00, 90.00, 90.00 degrees
Space group I4/mmm (No. 139)
Asymmetric unit:
Mn1 0.000 0.000 0.000
Os1 0.000 0.000 0.396
Os2 0.000 0.500 0.250



No. 3
MgC3: relaxed, GGA-PBEsol.

Output
**Theoretical density**: 3.0 g/cm³
**Formation energy**: 2651.3 meV per atom
**Spin magnetization**: 0.000 μB per atom
**DOS(E_F)**: 0.74 states/eV/f.u.
**Distance to the lowest polymorph of the same formula**: 1.693 eV/atom
**V**: 8.37 Å³ per atom

Cell lengths 3.223, 3.223, 3.223 Å; angles 90.00, 90.00, 90.00 degrees
Space group Pm-3m (No. 221)
Asymmetric unit:
Mg1 0.000 0.000 0.000
C1 0.000 0.500 0.500



No. 4
Zr5Al3: relaxed, GGA-PBEsol.

Output
**Theoretical density**: 5.6 g/cm³
**Formation energy**: -365.9 meV per atom
**Spin magnetization**: 0.002 μB per atom
**DOS(E_F)**: 10.87 states/eV/f.u.
**Distance to the lowest polymorph of the same formula**: 0.000 eV/atom
**V**: 19.98 Å³ per atom

Cell lengths 10.955, 10.955, 5.328 Å; angles 90.00, 90.00, 90.00 degrees
Space group I4/mcm (No. 140)
Asymmetric unit:
Zr1 0.000 0.500 0.250
Zr2 0.079 0.220 0.000
Al1 0.000 0.000 0.250
Al2 0.163 0.337 0.500



No. 5
PmLuAl2: relaxed, GGA-PBEsol.

Output
**Theoretical density**: 6.9 g/cm³
**Formation energy**: -371.4 meV per atom
**Spin magnetization**: 0.000 μB per atom
**DOS(E_F)**: 1.49 states/eV/f.u.
**V**: 22.63 Å³ per atom

Cell lengths 7.127, 7.127, 7.127 Å; angles 90.00, 90.00, 90.00 degrees
Space group Fm-3m (No. 225)
Asymmetric unit:
Pm1 0.000 0.000 0.000
Lu1 0.000 0.000 0.500
Al1 0.250 0.250 0.250



No. 6
YMnAs2: relaxed, GGA-PBEsol.

Output
**Theoretical density**: 7.3 g/cm³
**Formation energy**: -355.3 meV per atom
**Spin magnetization**: 0.366 μB per atom
**DOS(E_F)**: 2.67 states/eV/f.u.
**Distance to the lowest polymorph of the same formula**: 0.169 eV/atom
**V**: 16.78 Å³ per atom

Cell lengths 3.126, 3.126, 6.867 Å; angles 90.00, 90.00, 90.00 degrees
Space group P4/mmm (No. 123)
Asymmetric unit:
Y1 0.000 0.000 0.000
Mn1 0.000 0.000 0.500
As1 0.500 0.500 0.298



No. 7
Ba3NaPt: relaxed, GGA-PBEsol.

Output
**Theoretical density**: 4.4 g/cm³
**Formation energy**: -340.3 meV per atom
**Spin magnetization**: 0.000 μB per atom
**DOS(E_F)**: 3.07 states/eV/f.u.
**V**: 47.76 Å³ per atom

Cell lengths 6.204, 6.204, 6.204 Å; angles 90.00, 90.00, 90.00 degrees
Space group Pm-3m (No. 221)
Asymmetric unit:
Ba1 0.000 0.000 0.500
Na1 0.500 0.500 0.500
Pt1 0.000 0.000 0.000



No. 8
Bi3B7O12: relaxed, GGA-PBEsol.

Output
**Theoretical density**: 5.3 g/cm³
**Spin magnetization**: 0.000 μB per atom
**Energy relative to the elements, uncorrected**: -4279 kJ/mol of formula units
**DOS(E_F)**: 0.03 states/eV/f.u.
**V**: 12.83 Å³ per atom

Cell lengths 6.924, 9.088, 9.399 Å; angles 95.89, 103.83, 97.12 degrees
Space group P-1 (No. 2)
Asymmetric unit:
Bi1 0.011 0.338 0.004
Bi2 0.131 0.053 0.180
Bi3 0.341 0.779 0.257
B1 0.136 0.251 0.695
B2 0.152 0.714 0.515
B3 0.192 0.311 0.457
B4 0.296 0.526 0.800
B5 0.315 0.067 0.860
B6 0.415 0.801 0.904
B7 0.495 0.325 0.324
O1 0.011 0.665 0.589
O2 0.081 0.760 0.378
O3 0.154 0.116 0.769
O4 0.190 0.388 0.811
O5 0.251 0.253 0.587
O6 0.274 0.655 0.885
O7 0.292 0.918 0.867
O8 0.309 0.341 0.364
O9 0.354 0.723 0.557
O10 0.423 0.533 0.712
O11 0.443 0.211 0.187
O12 0.477 0.174 0.936



No. 9
LaInPt: relaxed, GGA-PBEsol.

Output
**Theoretical density**: 9.5 g/cm³
**Formation energy**: -781.0 meV per atom
**Spin magnetization**: 0.000 μB per atom
**DOS(E_F)**: 4.21 states/eV/f.u.
**V**: 26.08 Å³ per atom

Cell lengths 6.789, 6.789, 6.789 Å; angles 90.00, 90.00, 90.00 degrees
Space group F-43m (No. 216)
Asymmetric unit:
La1 0.000 0.000 0.000
In1 0.000 0.000 0.500
Pt1 0.250 0.250 0.750



No. 10
Dy2Si3: relaxed, GGA-PBEsol.

Output
**Theoretical density**: 6.6 g/cm³
**Spin magnetization**: 0.000 μB per atom
**Energy relative to the elements, uncorrected**: -328 kJ/mol of formula units
**DOS(E_F)**: 1.54 states/eV/f.u.
**V**: 20.51 Å³ per atom

Cell lengths 3.851, 3.920, 13.585 Å; angles 90.00, 90.00, 90.00 degrees
Space group Imm2 (No. 44)
Asymmetric unit:
Dy1 0.000 0.000 0.000
Dy2 0.000 0.500 0.255
Si1 0.000 0.000 0.431
Si2 0.000 0.500 0.659
Si3 0.000 0.500 0.830



No. 11
SbIr4Os: relaxed, GGA-PBEsol.

Output
**Theoretical density**: 18.4 g/cm³
**Spin magnetization**: 0.267 μB per atom
**Energy relative to the elements, uncorrected**: 498 kJ/mol of formula units
**DOS(E_F)**: 10.71 states/eV/f.u.
**V**: 16.22 Å³ per atom

Cell lengths 7.301, 7.301, 7.301 Å; angles 90.00, 90.00, 90.00 degrees
Space group F-43m (No. 216)
Asymmetric unit:
Sb1 0.000 0.000 0.000
Ir1 0.124 0.124 0.624
Os1 0.250 0.250 0.250



No. 12
Y13Ho3O24: relaxed, GGA-PBEsol.

Output
**Theoretical density**: 5.8 g/cm³
**Spin magnetization**: 0.000 μB per atom
**Energy relative to the elements, uncorrected**: -14051 kJ/mol of formula units
**DOS(E_F)**: 0.00 states/eV/f.u.
**V**: 14.59 Å³ per atom

Cell lengths 9.116, 9.117, 9.119 Å; angles 109.48, 109.46, 109.46 degrees
Space group P1 (No. 1)
Asymmetric unit:
Y1 0.000 0.000 0.000
Y2 0.000 0.499 0.500
Y3 0.033 0.717 0.250
Y4 0.217 0.184 0.468
Y5 0.250 0.967 0.717
Y6 0.282 0.749 0.967
Y7 0.467 0.217 0.185
Y8 0.500 0.434 0.935
Y9 0.500 0.934 0.435
Y10 0.533 0.716 0.750
Y11 0.717 0.684 0.468
Y12 0.750 0.967 0.218
Y13 0.783 0.250 0.967
Ho1 0.250 0.467 0.217
Ho2 0.750 0.467 0.717
Ho3 0.967 0.217 0.685
O1 0.012 0.456 0.249
O2 0.020 0.497 0.760
O3 0.023 0.229 0.947
O4 0.208 0.956 0.946
O5 0.218 0.206 0.729
O6 0.239 0.694 0.175
O7 0.261 0.240 0.260
O8 0.281 0.727 0.706
O9 0.292 0.978 0.489
O10 0.477 0.705 0.487
O11 0.480 0.435 0.675
O12 0.489 0.478 0.186
O13 0.511 0.696 0.989
O14 0.521 0.195 0.957
O15 0.522 0.009 0.229
O16 0.708 0.197 0.686
O17 0.718 0.424 0.448
O18 0.739 0.998 0.978
O19 0.762 0.937 0.458
O20 0.782 0.509 0.987
O21 0.793 0.737 0.749
O22 0.979 0.738 0.478
O23 0.979 0.925 0.206
O24 0.989 0.237 0.446



No. 13
In4Hg: relaxed, GGA-PBEsol.

Output
**Theoretical density**: 8.1 g/cm³
**Formation energy**: 84.9 meV per atom
**Spin magnetization**: 0.000 μB per atom
**DOS(E_F)**: 2.54 states/eV/f.u.
**Distance to the lowest polymorph of the same formula**: 0.090 eV/atom
**V**: 26.99 Å³ per atom

Cell lengths 10.258, 10.258, 10.258 Å; angles 90.00, 90.00, 90.00 degrees
Space group I-43m (No. 217)
Asymmetric unit:
In1 0.000 0.000 0.331
In2 0.000 0.250 0.500
In3 0.178 0.178 0.178
Hg1 0.163 0.163 0.837



No. 14
ZrBe2As: relaxed, GGA-PBEsol.

Output
**Theoretical density**: 5.2 g/cm³
**Formation energy**: 129.4 meV per atom
**Spin magnetization**: 0.000 μB per atom
**DOS(E_F)**: 1.23 states/eV/f.u.
**V**: 14.82 Å³ per atom

Cell lengths 5.179, 8.399, 2.823 Å; angles 90.00, 105.04, 90.00 degrees
Space group C2/m (No. 12)
Asymmetric unit:
Zr1 0.000 0.000 0.000
Be1 0.250 0.250 0.500
As1 0.000 0.500 0.000



No. 15
ZrCuAu: relaxed, GGA-PBEsol.

Output
**Theoretical density**: 11.7 g/cm³
**Formation energy**: -387.9 meV per atom
**Spin magnetization**: 0.000 μB per atom
**DOS(E_F)**: 1.73 states/eV/f.u.
**Distance to the lowest polymorph of the same formula**: 0.022 eV/atom
**V**: 16.65 Å³ per atom

Cell lengths 3.406, 3.406, 8.612 Å; angles 90.00, 90.00, 90.00 degrees
Space group I4mm (No. 107)
Asymmetric unit:
Zr1 0.000 0.000 0.000
Cu1 0.000 0.000 0.670
Au1 0.000 0.000 0.322



No. 16
Li3H24RuCl6O12: relaxed, GGA-PBEsol.

Output
**Theoretical density**: 2.0 g/cm³
**Spin magnetization**: 0.022 μB per atom
**Energy**: -4.806 eV per atom
**DOS(E_F)**: 10.91 states/eV/f.u.
**V**: 9.74 Å³ per atom

Cell lengths 9.6791, 9.6791, 33.1402 Å; angles 90.00, 90.00, 120.00 degrees
Space group R-3c (No. 167, hexagonal axes)
Asymmetric unit:
Li1 0.0000 0.0000 0.1640
Li2 0.0000 0.0000 0.2500
H1 0.0064 0.1595 0.0961
H2 0.0171 0.2202 0.2960
H3 0.0398 0.4647 0.4604
H4 0.0441 0.5078 0.7924
Ru1 0.0000 0.0000 0.0000
Cl1 0.0341 0.2086 0.9578
O1 0.0217 0.1942 0.1246
O2 0.0900 0.1895 0.7932



No. 17
TaInCu: relaxed, GGA-PBEsol.

Output
**Theoretical density**: 12.1 g/cm³
**Formation energy**: 90.6 meV per atom
**Spin magnetization**: 0.000 μB per atom
**DOS(E_F)**: 1.00 states/eV/f.u.
**V**: 16.38 Å³ per atom

Cell lengths 2.948, 2.948, 11.308 Å; angles 90.00, 90.00, 90.00 degrees
Space group I4mm (No. 107)
Asymmetric unit:
Ta1 0.000 0.000 0.000
In1 0.000 0.000 0.308
Cu1 0.000 0.000 0.650



No. 18
InMoNF2: relaxed, GGA-PBEsol.

Output
**Theoretical density**: 6.0 g/cm³
**Spin magnetization**: 0.800 μB per atom
**Energy relative to the elements, uncorrected**: -32 kJ/mol of formula units
**DOS(E_F)**: 2.34 states/eV/f.u.
**Distance to the lowest polymorph of the same formula**: 0.943 eV/atom
**V**: 14.53 Å³ per atom

Cell lengths 4.126, 4.126, 4.268 Å; angles 90.00, 90.00, 90.00 degrees
Space group P4/mmm (No. 123)
Asymmetric unit:
In1 0.000 0.000 0.000
Mo1 0.500 0.500 0.500
N1 0.000 0.000 0.500
F1 0.000 0.500 0.000